# 1
# PBE-GGA BaLa2In, relaxed
# Raw total energy = -3.78 eV/atom
# Calculated formation energy = -0.61 eV per formula unit
# Magnetic moment = 0.002 μB/f.u.
data_BaLa2In
_chemical_formula_sum 'Ba1 La2 In1'
_space_group_name_H-M_alt 'P m m m'
_space_group_IT_number 47
_cell_length_a 3.8530
_cell_length_b 4.6299
_cell_length_c 8.4836
_cell_angle_alpha 90.00
_cell_angle_beta 90.00
_cell_angle_gamma 90.00
loop_
_space_group_symop_operation_xyz
'x,y,z'
'-x,-y,-z'
'-x,-y,z'
'x,y,-z'
'x,-y,-z'
'-x,y,z'
'-x,y,-z'
'x,-y,z'
loop_
_atom_site_label
_atom_site_fract_x
_atom_site_fract_y
_atom_site_fract_z
Ba1 0.0000 0.0000 0.0000
La1 0.5000 0.5000 0.3112
In1 0.0000 0.0000 0.5000

# 2
# PBE-GGA BaLa2In2, relaxed
# Offset from the most stable computed form = 265.9 meV/atom
# Raw total energy = -3.55 eV/atom
# Calculated formation energy = -0.50 eV per formula unit
# Magnetic moment = 0.026 μB/f.u.
data_BaLa2In2
_chemical_formula_sum 'Ba2 La4 In4'
_space_group_name_H-M_alt 'I 4/m m m'
_space_group_IT_number 139
_space_group_name_Hall '-I 4 2'
_cell_length_a 5.8065
_cell_length_b 5.8065
_cell_length_c 12.2500
_cell_angle_alpha 90.00
_cell_angle_beta 90.00
_cell_angle_gamma 90.00
loop_
_atom_site_label
_atom_site_fract_x
_atom_site_fract_y
_atom_site_fract_z
Ba1 0.0000 0.0000 0.0000
La1 0.0000 0.0000 0.3501
In1 0.0000 0.5000 0.2500

# 3
# PBE-GGA BaLaIn2, relaxed
# Raw total energy = -3.46 eV/atom
# Calculated formation energy = -1.51 eV per formula unit
# Magnetic moment = 0.051 μB/f.u.
data_BaLaIn2
_chemical_formula_sum 'Ba2 La2 In4'
_space_group_name_H-M_alt 'C m m m'
_space_group_IT_number 65
_space_group_name_Hall '-C 2 2'
_cell_length_a 7.7118
_cell_length_b 9.5165
_cell_length_c 3.6761
_cell_angle_alpha 90.00
_cell_angle_beta 90.00
_cell_angle_gamma 90.00
loop_
_atom_site_label
_atom_site_fract_x
_atom_site_fract_y
_atom_site_fract_z
Ba1 0.0000 0.0000 0.0000
La1 0.0000 0.5000 0.0000
In1 0.2500 0.2500 0.5000

# 4
# PBE-GGA BaLa2In, relaxed
# Raw total energy = -3.66 eV/atom
# Calculated formation energy = -0.12 eV per formula unit
# Magnetic moment = 0.017 μB/f.u.
data_BaLa2In
_chemical_formula_sum 'Ba3 La6 In3'
_space_group_name_H-M_alt 'R 3 m'
_space_group_IT_number 160
_space_group_name_Hall 'R 3 -2"'
_cell_length_a 5.4850
_cell_length_b 5.4850
_cell_length_c 19.3004
_cell_angle_alpha 90.00
_cell_angle_beta 90.00
_cell_angle_gamma 120.00
loop_
_atom_site_label
_atom_site_fract_x
_atom_site_fract_y
_atom_site_fract_z
Ba1 0.0000 0.0000 0.0000
La1 0.0000 0.0000 0.5526
La2 0.0000 0.0000 0.7878
In1 0.0000 0.0000 0.1918

# 5
# PBE-GGA BaLa2In, relaxed
# Raw total energy = -3.79 eV/atom
# Calculated formation energy = -0.66 eV per formula unit
# Magnetic moment = 0.002 μB/f.u.
data_BaLa2In
_chemical_formula_sum 'Ba1 La2 In1'
_space_group_name_H-M_alt 'P 1 m 1'
_space_group_IT_number 6
_cell_length_a 3.9431
_cell_length_b 4.5606
_cell_length_c 8.4421
_cell_angle_alpha 90.00
_cell_angle_beta 90.06
_cell_angle_gamma 90.00
loop_
_space_group_symop_operation_xyz
'x,y,z'
'x,-y,z'
loop_
_atom_site_label
_atom_site_fract_x
_atom_site_fract_y
_atom_site_fract_z
Ba1 0.0000 0.0000 0.0000
La1 0.0007 0.0000 0.4482
La2 0.5002 0.5000 0.6559
In1 0.5005 0.5000 0.2542

# 6
# PBE-GGA BaLaIn2, relaxed
# Raw total energy = -3.34 eV/atom
# Calculated formation energy = -1.02 eV per formula unit
# Magnetic moment = 0.000 μB/f.u.
data_BaLaIn2
_chemical_formula_sum 'Ba2 La2 In4'
_space_group_name_H-M_alt 'C 1 2/m 1'
_space_group_IT_number 12
_cell_length_a 10.4737
_cell_length_b 4.0556
_cell_length_c 7.5156
_cell_angle_alpha 90.00
_cell_angle_beta 102.82
_cell_angle_gamma 90.00
loop_
_space_group_symop_operation_xyz
'x,y,z'
'-x,-y,-z'
'-x,y,-z'
'x,-y,z'
'x+1/2,y+1/2,z'
'-x+1/2,-y+1/2,-z'
'-x+1/2,y+1/2,-z'
'x+1/2,-y+1/2,z'
loop_
_atom_site_label
_atom_site_fract_x
_atom_site_fract_y
_atom_site_fract_z
Ba1 0.0000 0.0000 0.0000
La1 0.0000 0.5000 0.5000
In1 0.2470 0.0000 0.6875

# 7
# PBE-GGA BaLaIn2, relaxed
# Raw total energy = -3.11 eV/atom
# Calculated formation energy = -0.11 eV per formula unit
# Magnetic moment = 1.272 μB/f.u.
data_BaLaIn2
_chemical_formula_sum 'Ba4 La4 In8'
_space_group_name_H-M_alt 'F -4 3 m'
_space_group_IT_number 216
_space_group_name_Hall 'F -4 2 3'
_cell_length_a 8.1184
_cell_length_b 8.1184
_cell_length_c 8.1184
_cell_angle_alpha 90.00
_cell_angle_beta 90.00
_cell_angle_gamma 90.00
loop_
_atom_site_label
_atom_site_fract_x
_atom_site_fract_y
_atom_site_fract_z
Ba1 0.0000 0.0000 0.0000
La1 0.2500 0.2500 0.2500
In1 0.0000 0.0000 0.5000
In2 0.2500 0.2500 0.7500

# 8
# PBE-GGA BaLaIn2, relaxed
# Raw total energy = -3.43 eV/atom
# Calculated formation energy = -1.38 eV per formula unit
# Magnetic moment = 0.000 μB/f.u.
data_BaLaIn2
_chemical_formula_sum 'Ba2 La2 In4'
_space_group_name_H-M_alt 'I m m 2'
_space_group_IT_number 44
_cell_length_a 4.1592
_cell_length_b 5.5438
_cell_length_c 11.7039
_cell_angle_alpha 90.00
_cell_angle_beta 90.00
_cell_angle_gamma 90.00
loop_
_space_group_symop_operation_xyz
'x,y,z'
'-x,-y,z'
'-x,y,z'
'x,-y,z'
'x+1/2,y+1/2,z+1/2'
'-x+1/2,-y+1/2,z+1/2'
'-x+1/2,y+1/2,z+1/2'
'x+1/2,-y+1/2,z+1/2'
loop_
_atom_site_label
_atom_site_fract_x
_atom_site_fract_y
_atom_site_fract_z
Ba1 0.0000 0.0000 0.0000
La1 0.0000 0.5000 0.2141
In1 0.0000 0.0000 0.4463
In2 0.0000 0.5000 0.7626

# 9
# PBE-GGA BaLa2In, relaxed
# Raw total energy = -3.71 eV/atom
# Calculated formation energy = -0.33 eV per formula unit
# Magnetic moment = 0.000 μB/f.u.
data_BaLa2In
_chemical_formula_sum 'Ba2 La4 In2'
_space_group_name_H-M_alt 'C 1 m 1'
_space_group_IT_number 8
_cell_length_a 12.0789
_cell_length_b 3.7978
_cell_length_c 6.4508
_cell_angle_alpha 90.00
_cell_angle_beta 99.85
_cell_angle_gamma 90.00
loop_
_space_group_symop_operation_xyz
'x,y,z'
'x,-y,z'
'x+1/2,y+1/2,z'
'x+1/2,-y+1/2,z'
loop_
_atom_site_label
_atom_site_fract_x
_atom_site_fract_y
_atom_site_fract_z
Ba1 0.0000 0.0000 0.0000
La1 0.0340 0.5000 0.5338
La2 0.2728 0.5000 0.3069
In1 0.2625 0.0000 0.7610

# 10
# PBE-GGA BaLa3In4, relaxed
# Raw total energy = -3.90 eV/atom
# Calculated formation energy = -3.56 eV per formula unit
# Magnetic moment = 0.000 μB/f.u.
data_BaLa3In4
_chemical_formula_sum 'Ba2 La6 In8'
_space_group_name_H-M_alt 'P m m a'
_space_group_IT_number 51
_cell_length_a 11.4681
_cell_length_b 7.7046
_cell_length_c 5.8791
_cell_angle_alpha 90.00
_cell_angle_beta 90.00
_cell_angle_gamma 90.00
loop_
_space_group_symop_operation_xyz
'x,y,z'
'-x,-y,-z'
'-x+1/2,-y,z'
'x+1/2,y,-z'
'x+1/2,-y,-z'
'-x+1/2,y,z'
'-x,y,-z'
'x,-y,z'
loop_
_atom_site_label
_atom_site_fract_x
_atom_site_fract_y
_atom_site_fract_z
Ba1 0.0000 0.0000 0.0000
La1 0.0000 0.5000 0.0000
La2 0.2500 0.0000 0.4325
La3 0.2500 0.5000 0.4179
In1 0.0000 0.2687 0.5000
In2 0.2500 0.2702 0.9050

# 11
# PBE-GGA BaLa3In2, relaxed
# Raw total energy = -4.02 eV/atom
# Calculated formation energy = -1.91 eV per formula unit
# Magnetic moment = 0.000 μB/f.u.
data_BaLa3In2
_chemical_formula_sum 'Ba2 La6 In4'
_space_group_name_H-M_alt 'P m c 21'
_space_group_IT_number 26
_cell_length_a 5.6784
_cell_length_b 10.1257
_cell_length_c 7.2921
_cell_angle_alpha 90.00
_cell_angle_beta 90.00
_cell_angle_gamma 90.00
loop_
_space_group_symop_operation_xyz
'x,y,z'
'-x,-y,z+1/2'
'-x,y,z'
'x,-y,z+1/2'
loop_
_atom_site_label
_atom_site_fract_x
_atom_site_fract_y
_atom_site_fract_z
Ba1 0.0000 0.0382 0.0000
La1 0.0000 0.3366 0.7160
La2 0.5000 0.1745 0.2877
La3 0.5000 0.4674 0.0009
In1 0.0000 0.3447 0.2413
In2 0.5000 0.1686 0.7561

# 12
# PBE-GGA BaLa2In, relaxed
# Raw total energy = -3.75 eV/atom
# Calculated formation energy = -0.49 eV per formula unit
# Magnetic moment = 0.000 μB/f.u.
data_BaLa2In
_chemical_formula_sum 'Ba2 La4 In2'
_space_group_name_H-M_alt 'I -4 m 2'
_space_group_IT_number 119
_space_group_name_Hall 'I -4 -2'
_cell_length_a 5.1151
_cell_length_b 5.1151
_cell_length_c 10.8095
_cell_angle_alpha 90.00
_cell_angle_beta 90.00
_cell_angle_gamma 90.00
loop_
_atom_site_label
_atom_site_fract_x
_atom_site_fract_y
_atom_site_fract_z
Ba1 0.0000 0.0000 0.0000
La1 0.0000 0.0000 0.5000
La2 0.0000 0.5000 0.2500
In1 0.0000 0.5000 0.7500